[1]
Entry from the Alexandria database: an optimized crystal structure of TlFe2Hg (GGA-PBE).

The structure in CIF format:
```
data_TlFe2Hg
_chemical_formula_sum 'Tl2 Fe4 Hg2'
_symmetry_space_group_name_H-M 'I -4 m 2'
_symmetry_Int_Tables_number 119
_symmetry_space_group_name_Hall 'I -4 -2'
_cell_length_a 4.032
_cell_length_b 4.032
_cell_length_c 8.587
_cell_angle_alpha 90.00
_cell_angle_beta 90.00
_cell_angle_gamma 90.00
loop_
_atom_site_label
_atom_site_fract_x
_atom_site_fract_y
_atom_site_fract_z
Tl1 0.000 0.000 0.000
Fe1 0.000 0.000 0.500
Fe2 0.000 0.500 0.750
Hg1 0.000 0.500 0.250
```

E above lowest polymorph = 0.225 eV per atom
energy of formation from the pure elements = 0.61 eV per atom
mass density = 12.3 g/cm3

=====

[2]
Entry from the Alexandria database: an optimized crystal structure of Sc3TlO (GGA-PBE).

The structure in CIF format:
```
data_Sc3TlO
_chemical_formula_sum 'Sc18 Tl6 O6'
_symmetry_space_group_name_H-M 'R -3'
_symmetry_Int_Tables_number 148
_symmetry_space_group_name_Hall '-R 3'
_cell_length_a 5.7207
_cell_length_b 5.7207
_cell_length_c 21.8646
_cell_angle_alpha 90.00
_cell_angle_beta 90.00
_cell_angle_gamma 120.00
loop_
_atom_site_label
_atom_site_fract_x
_atom_site_fract_y
_atom_site_fract_z
Sc1 0.0039 0.6785 0.2785
Tl1 0.0000 0.0000 0.1648
O1 0.0000 0.0000 0.3381
```

mass density = 5.7 g/cm3
energy relative to the elements, uncorrected = -26.206 kcal/mol of atoms

=====

[3]
Entry from the Alexandria database: an optimized crystal structure of Zr2CuAs (GGA-PBE).

The structure in CIF format:
```
data_Zr2CuAs
_chemical_formula_sum 'Zr8 Cu4 As4'
_symmetry_space_group_name_H-M 'I -4 2 d'
_symmetry_Int_Tables_number 122
_symmetry_space_group_name_Hall 'I -4 2bw'
_cell_length_a 7.230
_cell_length_b 7.230
_cell_length_c 6.013
_cell_angle_alpha 90.00
_cell_angle_beta 90.00
_cell_angle_gamma 90.00
loop_
_atom_site_label
_atom_site_fract_x
_atom_site_fract_y
_atom_site_fract_z
Zr1 0.247 0.250 0.125
Cu1 0.000 0.000 0.000
As1 0.000 0.000 0.500
```

energy of formation from the pure elements = -0.28 eV per atom
mass density = 6.8 g/cm3

=====

[4]
Entry from the Alexandria database: an optimized crystal structure of BeGa3Bi (GGA-PBE).

The structure in CIF format:
```
data_BeGa3Bi
_chemical_formula_sum 'Be1 Ga3 Bi1'
_symmetry_space_group_name_H-M 'P m -3 m'
_symmetry_Int_Tables_number 221
_symmetry_space_group_name_Hall '-P 4 2 3'
_cell_length_a 4.677
_cell_length_b 4.677
_cell_length_c 4.677
_cell_angle_alpha 90.00
_cell_angle_beta 90.00
_cell_angle_gamma 90.00
loop_
_atom_site_label
_atom_site_fract_x
_atom_site_fract_y
_atom_site_fract_z
Be1 0.000 0.000 0.000
Ga1 0.000 0.000 0.500
Bi1 0.500 0.500 0.500
```

E above lowest polymorph = 0.000 eV per atom
energy of formation from the pure elements = 0.23 eV per atom
mass density = 6.9 g/cm3

=====

no.,Fermi-level density of states (states/eV/cell)
1,6.960
2,28.860
3,14.529
4,1.900